1.
The following is a DFT calculation (PBE-GGA) of a relaxed Rb2HIrN crystal.

Lattice parameters (Å, degrees): 5.9314 3.4537 5.9314 90.00 90.00 90.00
Atoms (fractional coordinates):
H 0.0000 0.0000 0.0000
Ir 0.0000 0.5000 0.0000
Rb 0.0000 0.0000 0.5000
Rb 0.5000 0.0000 0.0000
N 0.5000 0.5000 0.5000

Output
**Raw total energy**: -3.424 eV per atom
**D(E_F)**: 6.5 states/eV/cell
**Density**: 5.2 g/cm³

2.
The following is a DFT calculation (PBE-GGA) of a relaxed Hg2SbPb9 crystal.

Lattice parameters (Å, degrees): 5.9648 5.9676 10.7286 90.00 90.00 107.11
Atoms (fractional coordinates):
Hg 0.0000 0.0000 0.3370
Hg 0.0000 0.0000 0.6630
Sb 0.0000 0.0000 0.0000
Pb 0.5000 0.5000 0.0000
Pb 0.5000 0.5000 0.3335
Pb 0.5000 0.5000 0.6665
Pb 0.5000 0.0000 0.1642
Pb 0.5000 0.0000 0.5000
Pb 0.5000 0.0000 0.8358
Pb 0.0000 0.5000 0.1642
Pb 0.0000 0.5000 0.5000
Pb 0.0000 0.5000 0.8358

Output
**Formation energy without anion corrections**: 28 meV/atom
**D(E_F)**: 6.1 states/eV/cell
**Density**: 10.9 g/cm³

3.
The following is a DFT calculation (PBE-GGA) of a relaxed Y6Mn2Tl crystal.

Lattice parameters (Å, degrees): 8.4937 8.4937 8.4937 107.55 109.89 110.99
Atoms (fractional coordinates):
Y 0.4780 0.2870 0.1910
Y 0.5220 0.7130 0.8090
Y 0.9041 0.7130 0.1910
Y 0.0959 0.2870 0.8090
Y 0.2174 0.7700 0.9875
Y 0.7826 0.2300 0.0125
Y 0.7826 0.7700 0.5526
Y 0.2174 0.2300 0.4474
Y 0.2936 0.9812 0.6876
Y 0.7064 0.0188 0.3124
Y 0.7064 0.3940 0.6876
Y 0.2936 0.6060 0.3124
Mn 0.5000 0.3959 0.8959
Mn 0.5000 0.6041 0.1041
Mn 0.3891 0.0000 0.3891
Mn 0.6109 0.0000 0.6109
Tl 0.0000 0.5000 0.5000
Tl 0.0000 0.0000 0.0000

Output
**ΔE_f**: -0.56 eV per formula unit
**D(E_F)**: 19.2 states/eV/cell
**Density**: 6.0 g/cm³

What is the D(E_F) in the third record?
19.2 states/eV/cell